Computed, not measured: a relaxed BeCuPbF6 crystal at the GGA-PBE level of DFT.

Lattice parameters (Å, degrees): 5.5205 5.6213 5.3342 92.71 87.40 51.06
Closest atoms and distances in Å follow each position.
Positions (direct):
F: 0.0561 0.5471 0.6352  1 Be 1.57
F: 0.5993 0.3419 0.7275  1 Be 1.57
F: 0.4188 0.9327 0.7715  1 Cu 1.89
F: 0.9307 0.3926 0.1936  1 Cu 1.89
F: 0.3412 0.6645 0.3641  1 Be 1.64
F: 0.5714 0.0984 0.3254  1 Be 1.53
Cu: 0.6802 0.6642 0.4837  4 F 1.89-2.00
Be: 0.3936 0.3883 0.5107  4 F 1.53-1.64
Pb: 0.0084 0.9704 0.9882  3 F 2.33-2.45

Energy relative to the elements, uncorrected: -2.36 eV/atom

Computed, not measured: a relaxed Al2IrOsC crystal at the GGA-PBE level of DFT.

Lattice parameters (Å, degrees): 4.1513 3.8163 4.1513 90.00 90.00 90.00
Closest atoms and distances in Å follow each position.
Positions (direct):
Ir: 0.0000 0.5000 0.0000  2 C 1.91
Al: 0.0000 0.0000 0.5000  2 C 2.08
Al: 0.5000 0.0000 0.0000  2 C 2.08
C: 0.0000 0.0000 0.0000  2 Ir 1.91, 4 Al 2.08
Os: 0.5000 0.5000 0.5000  8 Al 2.82, 4 Ir 2.94

Energy of formation: 28.20 kJ per mole of atoms

Computed, not measured: a relaxed BaFe2Ir crystal at the GGA-PBE level of DFT.

Lattice parameters (Å, degrees): 3.0666 3.5781 7.2891 90.00 90.00 90.00
Closest atoms and distances in Å follow each position.
Positions (direct):
Ir: 0.5000 0.5000 0.2500  8 Fe 2.61
Fe: 0.0000 0.0000 0.0966  1 Fe 2.24
Fe: 0.0000 0.0000 0.4034  1 Fe 2.24
Ba: 0.5000 0.5000 0.7500  2 Ba 3.07

Energy of formation: 44.78 kJ per mole of atoms

| no. | total moment (Bohr magnetons per cell) | uncorrected energy (eV per atom) |
| --- | --- | --- |
| 1 | 1.01 | -4.885 |
| 2 | 0.00 | -7.068 |
| 3 | 5.63 | -6.463 |